1.
A geometry-optimized CdIn2 structure. Source: Alexandria, functional GGA-PBEsol. Values from VASP.

Geometry as Quantum ESPRESSO input:
```
&SYSTEM
  ibrav = 0, nat = 3, ntyp = 2
/
ATOMIC_SPECIES
In 114.82 In.upf
Cd 112.41 Cd.upf
CELL_PARAMETERS angstrom
-2.779 2.161 3.266
0.418 -1.146 4.644
1.918 3.140 3.085
ATOMIC_POSITIONS crystal
In 0.750 0.750 0.750
In 0.250 0.250 0.250
Cd 0.000 0.000 0.000
```

=====

2.
! Cd5In3 GGA-PBEsol relaxed; values from VASP
&SYSTEM
  ibrav = 0, nat = 8, ntyp = 2
/
ATOMIC_SPECIES
In 114.82 In.upf
Cd 112.41 Cd.upf
CELL_PARAMETERS angstrom
-2.524 -2.408 2.806
-1.687 -3.795 -4.774
4.964 -3.707 1.285
ATOMIC_POSITIONS crystal
In 0.500 0.753 0.247
In 0.500 0.247 0.753
In 0.000 0.500 0.500
Cd 0.500 0.754 0.754
Cd 0.000 0.500 0.000
Cd 0.000 0.000 0.000
Cd 0.500 0.246 0.246
Cd 0.000 0.000 0.500
! - relative energy among the computed polymorphs (meV/atom) = 0

=====

3.
A geometry-optimized CdIn2 structure. Source: Alexandria, functional GGA-PBEsol. Values from VASP.

Geometry as Quantum ESPRESSO input:
```
&SYSTEM
  ibrav = 0, nat = 6, ntyp = 2
/
ATOMIC_SPECIES
Cd 112.41 Cd.upf
In 114.82 In.upf
CELL_PARAMETERS angstrom
3.110 0.000 0.000
0.000 5.498 0.000
0.000 0.000 8.544
ATOMIC_POSITIONS crystal
Cd 0.500 0.500 0.500
Cd 0.000 0.000 0.000
In 0.500 0.000 0.682
In 0.500 0.000 0.318
In 0.000 0.500 0.182
In 0.000 0.500 0.818
```

=====

4.
A geometry-optimized CdIn3 structure. Source: Alexandria, functional GGA-PBEsol. Values from VASP.

Geometry as Quantum ESPRESSO input:
```
&SYSTEM
  ibrav = 0, nat = 4, ntyp = 2
/
ATOMIC_SPECIES
In 114.82 In.upf
Cd 112.41 Cd.upf
CELL_PARAMETERS angstrom
3.372 0.000 0.000
0.000 5.263 0.000
0.000 0.000 5.570
ATOMIC_POSITIONS crystal
In 0.500 0.000 0.496
In 0.500 0.500 0.843
In 0.000 0.500 0.335
Cd 0.000 0.000 0.993
```

=====

5.
! Cd4In GGA-PBEsol relaxed; values from VASP
&SYSTEM
  ibrav = 0, nat = 5, ntyp = 2
/
ATOMIC_SPECIES
In 114.82 In.upf
Cd 112.41 Cd.upf
CELL_PARAMETERS angstrom
4.125 0.000 0.000
0.000 4.125 0.000
-2.062 -2.062 6.907
ATOMIC_POSITIONS crystal
In 0.000 0.000 0.000
Cd 0.750 0.250 0.500
Cd 0.599 0.599 0.198
Cd 0.401 0.401 0.802
Cd 0.250 0.750 0.500
! - relative energy among the computed polymorphs (meV/atom) = 69

=====

6.
A geometry-optimized CdIn3 structure. Source: Alexandria, functional GGA-PBEsol. Values from VASP.

Geometry as Quantum ESPRESSO input:
```
&SYSTEM
  ibrav = 0, nat = 16, ntyp = 2
/
ATOMIC_SPECIES
In 114.82 In.upf
Cd 112.41 Cd.upf
CELL_PARAMETERS angstrom
6.470 0.000 0.000
-3.235 5.604 0.000
0.000 0.000 10.693
ATOMIC_POSITIONS crystal
In 0.500 0.000 0.000
In 0.000 0.500 0.500
In 0.331 0.165 0.250
In 0.500 0.500 0.000
In 0.165 0.835 0.750
In 0.000 0.500 0.000
In 0.500 0.000 0.500
In 0.835 0.669 0.250
In 0.669 0.835 0.750
In 0.500 0.500 0.500
In 0.165 0.331 0.750
In 0.835 0.165 0.250
Cd 0.000 0.000 0.000
Cd 0.667 0.333 0.750
Cd 0.333 0.667 0.250
Cd 0.000 0.000 0.500
```

=====

7.
A geometry-optimized Cd3In structure. Source: Alexandria, functional GGA-PBEsol. Values from VASP.

Geometry as Quantum ESPRESSO input:
```
&SYSTEM
  ibrav = 0, nat = 8, ntyp = 2
/
ATOMIC_SPECIES
Cd 112.41 Cd.upf
In 114.82 In.upf
CELL_PARAMETERS angstrom
-5.390 1.538 0.612
-0.383 -3.188 4.636
1.611 4.390 3.152
ATOMIC_POSITIONS crystal
Cd 0.000 0.250 0.500
Cd 0.000 0.750 0.500
Cd 0.500 0.000 0.750
Cd 0.500 0.000 0.250
Cd 0.250 0.500 0.000
Cd 0.750 0.500 0.000
In 0.500 0.500 0.500
In 0.000 0.000 0.000
```

=====

8.
A geometry-optimized CdIn2 structure. Source: Alexandria, functional GGA-PBEsol. Values from VASP.

Geometry as Quantum ESPRESSO input:
```
&SYSTEM
  ibrav = 0, nat = 12, ntyp = 2
/
ATOMIC_SPECIES
In 114.82 In.upf
Cd 112.41 Cd.upf
CELL_PARAMETERS angstrom
-2.898 2.344 -2.671
-4.863 -1.167 4.252
2.161 7.982 4.662
ATOMIC_POSITIONS crystal
In 0.750 0.871 0.418
In 0.250 0.129 0.582
In 0.250 0.619 0.255
In 0.250 0.629 0.918
In 0.750 0.371 0.082
In 0.750 0.381 0.745
In 0.750 0.881 0.755
In 0.250 0.119 0.245
Cd 0.250 0.626 0.582
Cd 0.750 0.874 0.082
Cd 0.250 0.126 0.918
Cd 0.750 0.374 0.418
```

=====

Which energy of formation from the pure elements belongs to each record? In order, 0.06 0.03 0.04 0.04 0.09 0.03 0.06 0.03 eV/atom.